RbTeN2O | GGA-PBE | optimized geometry

Cell lengths 4.124, 4.124, 4.269 Å; angles 90.00, 90.00, 90.00 degrees
Space group P4/mmm (No. 123)
Unique sites:
Rb  0.000  0.000  0.000 (multiplicity 1)
Te  0.500  0.500  0.500 (multiplicity 1)
N  0.000  0.500  0.500 (multiplicity 2)
O  0.500  0.500  0.000 (multiplicity 1)

## Properties
- E_form (uncorrected): 588.7 meV per atom

RbTeN2O | GGA-PBE | optimized geometry

Cell lengths 5.110, 5.110, 7.327 Å; angles 90.00, 90.00, 90.00 degrees
Space group P4/mmm (No. 123)
Unique sites:
Rb  0.000  0.000  0.000 (multiplicity 1)
Te  0.000  0.000  0.500 (multiplicity 1)
N  0.000  0.500  0.000 (multiplicity 2)
O  0.500  0.500  0.500 (multiplicity 1)

## Properties
- E_form (uncorrected): 2670.4 meV per atom

RbTeN2O | GGA-PBE | optimized geometry

Cell lengths 4.553, 4.553, 4.165 Å; angles 90.00, 90.00, 90.00 degrees
Space group P4/mmm (No. 123)
Unique sites:
Rb  0.000  0.000  0.000 (multiplicity 1)
Te  0.500  0.500  0.500 (multiplicity 1)
N  0.000  0.500  0.000 (multiplicity 2)
O  0.000  0.000  0.500 (multiplicity 1)

## Properties
- E_form (uncorrected): 2497.4 meV per atom

RbThNO | GGA-PBE | optimized geometry

Cell lengths 3.7300, 3.7300, 20.5763 Å; angles 90.00, 90.00, 120.00 degrees
Space group R3m (No. 160, hexagonal axes)
Unique sites:
Rb  0.0000  0.0000  0.0000 (multiplicity 3)
Th  0.0000  0.0000  0.1734 (multiplicity 3)
N  0.0000  0.0000  0.5581 (multiplicity 3)
O  0.0000  0.0000  0.7814 (multiplicity 3)

## Properties
- E_form (uncorrected): -1842.6 meV per atom

RbTiNO2 | GGA-PBE | optimized geometry

Cell lengths 4.209, 4.209, 4.394 Å; angles 90.00, 90.00, 90.00 degrees
Space group P4/mmm (No. 123)
Unique sites:
Rb  0.000  0.000  0.000 (multiplicity 1)
Ti  0.500  0.500  0.500 (multiplicity 1)
N  0.000  0.000  0.500 (multiplicity 1)
O  0.000  0.500  0.000 (multiplicity 2)

## Properties
- E_form (uncorrected): 1486.2 meV per atom

RbTiNO2 | GGA-PBE | optimized geometry

Cell lengths 3.995, 3.995, 4.281 Å; angles 90.00, 90.00, 90.00 degrees
Space group P4/mmm (No. 123)
Unique sites:
Rb  0.000  0.000  0.000 (multiplicity 1)
Ti  0.500  0.500  0.500 (multiplicity 1)
N  0.500  0.500  0.000 (multiplicity 1)
O  0.000  0.500  0.500 (multiplicity 2)

## Properties
- E_form (uncorrected): -1277.8 meV per atom

Rb2UNO3 | GGA-PBE | optimized geometry

Cell lengths 4.426, 4.428, 14.193 Å; angles 90.00, 90.00, 90.00 degrees
Space group Immm (No. 71)
Unique sites:
Rb  0.000  0.000  0.153 (multiplicity 4)
U  0.000  0.000  0.500 (multiplicity 2)
N  0.000  0.500  0.000 (multiplicity 2)
O  0.000  0.000  0.362 (multiplicity 4)
O  0.000  0.500  0.500 (multiplicity 2)

## Properties
- E_form (uncorrected): -1933.7 meV per atom

Number 1: DOS(E_F) 0.601 states/eV per atom. Number 2: DOS(E_F) 2.211 states/eV per atom. Number 3: DOS(E_F) 0.841 states/eV per atom. Number 4: DOS(E_F) 0.000 states/eV per atom. Number 5: DOS(E_F) 0.911 states/eV per atom. Number 6: DOS(E_F) 0.245 states/eV per atom. Number 7: DOS(E_F) 0.300 states/eV per atom.